ZnCBr2: optimized geometry, PBE-GGA.

Cell lengths 7.019, 7.019, 7.021 Å; angles 60.01, 60.01, 90.00 degrees
Atoms (fractional coordinates):
Zn: 0.000 0.000 0.000
Zn: 0.750 0.250 0.500
C: 0.500 0.500 0.000
C: 0.250 0.750 0.500
Br: 0.376 0.125 0.250
Br: 0.374 0.625 0.250
Br: 0.375 0.624 0.750
Br: 0.875 0.626 0.750

Properties
Density of states at the Fermi level, states/eV/cell: 1.8
Total moment, μB/f.u.: 0.00
Space group: Fd-3m
Energy above the most stable polymorph in this dataset, eV/atom: 0.000
Raw formation energy, meV per atom: 1123

SrRe2P: optimized geometry, PBE-GGA.

Cell lengths 3.031, 3.031, 7.947 Å; angles 90.00, 90.00, 90.00 degrees
Atoms (fractional coordinates):
Sr: 0.500 0.500 0.000
Re: 0.000 0.000 0.664
Re: 0.000 0.000 0.336
P: 0.500 0.500 0.500

Properties
Density of states at the Fermi level, states/eV/cell: 4.0
Total moment, μB/f.u.: 0.00
Space group: P4/mmm
Formation enthalpy at 0 K, eV per atom: 0.5172

LiRhW2: optimized geometry, PBE-GGA.

Cell lengths 4.356, 4.356, 4.356 Å; angles 60.00, 60.00, 60.00 degrees
Atoms (fractional coordinates):
Rh: 0.500 0.500 0.500
W: 0.250 0.250 0.250
W: 0.750 0.750 0.750
Li: 0.000 0.000 0.000

Properties
Density of states at the Fermi level, states/eV/cell: 5.3
Total moment, μB/f.u.: 0.00
Space group: Fm-3m
Energy above the most stable polymorph in this dataset, eV/atom: 0.448
Formation enthalpy at 0 K, eV per atom: 0.5731

MgAsCl3: optimized geometry, PBE-GGA.

Cell lengths 4.947, 4.947, 4.947 Å; angles 90.00, 90.00, 90.00 degrees
Atoms (fractional coordinates):
As: 0.500 0.500 0.500
Mg: 0.000 0.000 0.000
Cl: 0.000 0.500 0.000
Cl: 0.000 0.000 0.500
Cl: 0.500 0.000 0.000

Properties
Density of states at the Fermi level, states/eV/cell: 5.6
Total moment, μB/f.u.: 2.00
Space group: Pm-3m
Energy above the most stable polymorph in this dataset, eV/atom: 0.000
Raw formation energy, meV per atom: -618

AcLa2Nd: optimized geometry, PBE-GGA.

Cell lengths 3.704, 3.704, 13.392 Å; angles 82.05, 82.05, 60.00 degrees
Atoms (fractional coordinates):
Ac: 0.000 0.000 0.000
Nd: 0.500 0.500 0.500
La: 0.091 0.091 0.727
La: 0.909 0.909 0.273

Properties
Density of states at the Fermi level, states/eV/cell: 7.2
Total moment, μB/f.u.: 0.00
Space group: R-3m
Energy above the most stable polymorph in this dataset, eV/atom: 0.141
Formation enthalpy at 0 K, eV per atom: 0.1519

AlCuO2F: optimized geometry, PBE-GGA.

Cell lengths 3.705, 3.705, 3.623 Å; angles 90.00, 90.00, 90.00 degrees
Atoms (fractional coordinates):
O: 0.000 0.500 0.000
O: 0.500 0.000 0.000
Al: 0.000 0.000 0.000
Cu: 0.500 0.500 0.500
F: 0.000 0.000 0.500

Properties
Density of states at the Fermi level, states/eV/cell: 4.8
Total moment, μB/f.u.: 0.00
Space group: P4/mmm
Raw formation energy, meV per atom: -1679

Cu2MoIr: optimized geometry, PBE-GGA.

Cell lengths 4.048, 3.695, 3.695 Å; angles 90.00, 90.00, 90.00 degrees
Atoms (fractional coordinates):
Cu: 0.000 0.000 0.000
Cu: 0.000 0.500 0.500
Ir: 0.500 0.500 0.000
Mo: 0.500 0.000 0.500

Properties
Density of states at the Fermi level, states/eV/cell: 4.8
Total moment, μB/f.u.: 0.00
Space group: P4/mmm
Energy above the most stable polymorph in this dataset, eV/atom: 0.195
Formation enthalpy at 0 K, eV per atom: 0.2279

Zr2NiPt: optimized geometry, PBE-GGA.

Cell lengths 4.569, 4.569, 4.569 Å; angles 60.00, 60.00, 60.00 degrees
Atoms (fractional coordinates):
Ni: 0.500 0.500 0.500
Pt: 0.750 0.750 0.750
Zr: 0.000 0.000 0.000
Zr: 0.250 0.250 0.250

Properties
Density of states at the Fermi level, states/eV/cell: 2.1
Total moment, μB/f.u.: 0.00
Space group: F-43m
Formation enthalpy at 0 K, eV per atom: -0.5037

Cu2TeSe: optimized geometry, PBE-GGA.

Cell lengths 3.671, 4.621, 4.846 Å; angles 76.35, 90.00, 90.00 degrees
Atoms (fractional coordinates):
Cu: 0.000 0.024 0.005
Cu: 0.000 0.476 0.495
Se: 0.500 0.250 0.250
Te: 0.500 0.750 0.750

Properties
Density of states at the Fermi level, states/eV/cell: 1.2
Total moment, μB/f.u.: 0.00
Space group: P2/m
Energy above the most stable polymorph in this dataset, eV/atom: 0.194
Raw formation energy, meV per atom: 111

TmCu9Ag2: optimized geometry, PBE-GGA.

Cell lengths 4.969, 4.969, 8.543 Å; angles 73.09, 73.09, 60.00 degrees
Atoms (fractional coordinates):
Tm: 0.000 0.000 0.000
Cu: 0.667 0.667 0.000
Cu: 0.333 0.333 0.000
Cu: 0.500 0.500 0.500
Cu: 0.414 0.414 0.253
Cu: 0.918 0.414 0.253
Cu: 0.414 0.918 0.253
Cu: 0.586 0.586 0.747
Cu: 0.586 0.082 0.747
Cu: 0.082 0.586 0.747
Ag: 0.856 0.856 0.433
Ag: 0.144 0.144 0.567

Properties
Density of states at the Fermi level, states/eV/cell: 6.9
Total moment, μB/f.u.: 0.00
Space group: R-3m
Formation enthalpy at 0 K, eV per atom: -0.0803

Cs2RbAuF6: optimized geometry, PBE-GGA.

Cell lengths 6.586, 6.586, 13.607 Å; angles 76.00, 76.00, 60.00 degrees
Atoms (fractional coordinates):
Cs: 0.859 0.859 0.422
Cs: 0.141 0.141 0.578
Cs: 0.696 0.696 0.913
Cs: 0.304 0.304 0.087
Rb: 0.589 0.589 0.234
Rb: 0.411 0.411 0.766
Au: 0.000 0.000 0.000
Au: 0.500 0.500 0.500
F: 0.839 0.379 0.403
F: 0.379 0.839 0.403
F: 0.379 0.379 0.403
F: 0.161 0.621 0.597
F: 0.621 0.161 0.597
F: 0.621 0.621 0.597
F: 0.717 0.188 0.907
F: 0.188 0.717 0.907
F: 0.188 0.188 0.907
F: 0.283 0.812 0.093
F: 0.812 0.283 0.093
F: 0.812 0.812 0.093

Properties
Total moment, μB/f.u.: 2.00
Space group: R-3m
Energy above the most stable polymorph in this dataset, eV/atom: 0.018
Raw formation energy, meV per atom: -2068

Li2NdMg3: optimized geometry, PBE-GGA.

Cell lengths 5.055, 5.055, 13.224 Å; angles 90.00, 90.00, 120.00 degrees
Atoms (fractional coordinates):
Li: 0.667 0.333 0.394
Li: 0.333 0.667 0.606
Li: 0.333 0.667 0.894
Li: 0.667 0.333 0.106
Nd: 0.000 0.000 0.250
Nd: 0.000 0.000 0.750
Mg: 0.000 0.000 0.500
Mg: 0.000 0.000 0.000
Mg: 0.667 0.333 0.621
Mg: 0.333 0.667 0.121
Mg: 0.667 0.333 0.879
Mg: 0.333 0.667 0.379

Properties
Density of states at the Fermi level, states/eV/cell: 11.6
Total moment, μB/f.u.: 0.00
Space group: P6_3/mmc
Energy above the most stable polymorph in this dataset, eV/atom: 0.045
Formation enthalpy at 0 K, eV per atom: -0.0076